## ZnCuMo (PBE)

Data for a geometry-optimized ZnCuMo structure.

- Space-group type: F-43m (216)
- Calculated formation energy: 631 meV/atom
- DFT total energy: -14.309 eV per cell

a = 4.063 Å, b = 4.063 Å, c = 4.063 Å
α = 60.00°, β = 60.00°, γ = 60.00°
Fractional coordinates of all 3 atoms:
Zn1 0.000 0.000 0.000
Cu1 0.750 0.750 0.750
Mo1 0.500 0.500 0.500